# PBE SrLi2GePt2, optimized geometry
data_SrLi2GePt2
_cell_length_a 4.7892
_cell_length_b 4.7892
_cell_length_c 6.1150
_cell_angle_alpha 90.00
_cell_angle_beta 90.00
_cell_angle_gamma 90.00
_symmetry_space_group_name_H-M 'P 4/m m m'
_symmetry_Int_Tables_number 123
_symmetry_space_group_name_Hall '-P 4 2'
loop_
_atom_site_label
_atom_site_fract_x
_atom_site_fract_y
_atom_site_fract_z
Sr1 0.0000 0.0000 0.0000
Li1 0.5000 0.5000 0.2925
Ge1 0.0000 0.0000 0.5000
Pt1 0.0000 0.5000 0.5000
# Crystal system = tetragonal
# Uncorrected energy = -4.121 eV per atom

# PBE LiTbGePt3, optimized geometry
data_LiTbGePt3
_cell_length_a 5.6800
_cell_length_b 12.8537
_cell_length_c 5.7338
_cell_angle_alpha 90.00
_cell_angle_beta 90.00
_cell_angle_gamma 90.00
_symmetry_space_group_name_H-M 'C m c m'
_symmetry_Int_Tables_number 63
_symmetry_space_group_name_Hall '-C 2c 2'
loop_
_atom_site_label
_atom_site_fract_x
_atom_site_fract_y
_atom_site_fract_z
Li1 0.0000 0.1206 0.2500
Tb1 0.0000 0.3318 0.2500
Ge1 0.0000 0.3802 0.7500
Pt1 0.0000 0.1882 0.7500
Pt2 0.2390 0.0000 0.0000
# Crystal system = orthorhombic
# Uncorrected energy = -5.589 eV per atom

# PBE LiTb2GePt6, optimized geometry
data_LiTb2GePt6
_cell_length_a 9.7365
_cell_length_b 5.6239
_cell_length_c 8.7177
_cell_angle_alpha 90.00
_cell_angle_beta 111.80
_cell_angle_gamma 90.00
_symmetry_space_group_name_H-M 'C 1 2/m 1'
_symmetry_Int_Tables_number 12
loop_
_symmetry_equiv_pos_as_xyz
'x,y,z'
'-x,-y,-z'
'-x,y,-z'
'x,-y,z'
'x+1/2,y+1/2,z'
'-x+1/2,-y+1/2,-z'
'-x+1/2,y+1/2,-z'
'x+1/2,-y+1/2,z'
loop_
_atom_site_label
_atom_site_fract_x
_atom_site_fract_y
_atom_site_fract_z
Li1 0.0000 0.0000 0.0000
Tb1 0.2014 0.0000 0.6042
Ge1 0.0000 0.5000 0.5000
Pt1 0.0119 0.2417 0.2772
Pt2 0.2465 0.5000 0.7226
# Crystal system = monoclinic
# Uncorrected energy = -5.955 eV per atom

# PBE LiTb2Ge3Pt4, optimized geometry
data_LiTb2Ge3Pt4
_cell_length_a 4.2167
_cell_length_b 4.2167
_cell_length_c 10.3689
_cell_angle_alpha 90.00
_cell_angle_beta 90.00
_cell_angle_gamma 90.00
_symmetry_space_group_name_H-M 'P -4 m 2'
_symmetry_Int_Tables_number 115
loop_
_symmetry_equiv_pos_as_xyz
'x,y,z'
'y,-x,-z'
'-x,-y,z'
'-y,x,-z'
'-x,y,z'
'-y,-x,-z'
'x,-y,z'
'y,x,-z'
loop_
_atom_site_label
_atom_site_fract_x
_atom_site_fract_y
_atom_site_fract_z
Li1 0.0000 0.0000 0.0000
Tb1 0.0000 0.5000 0.7523
Ge1 0.0000 0.5000 0.3634
Ge2 0.5000 0.5000 0.0000
Pt1 0.0000 0.0000 0.5000
Pt2 0.0000 0.5000 0.1314
Pt3 0.5000 0.5000 0.5000
# Crystal system = tetragonal
# Uncorrected energy = -5.827 eV per atom